Model P:
The following is a DFT calculation (PBE with a Hubbard U) of a geometry-optimized LiVAgF2 structure.

## Properties
Size of the total moment: 2.95 μB/cell
Density of states at the Fermi level: 2.1 states/eV/cell
ρ: 3.66 Mg/m³

a = 4.0057 Å, b = 4.0057 Å, c = 5.7609 Å
α = 90.00°, β = 90.00°, γ = 90.00°
Last column: nearest neighbours and their distance in Å.
Space group P4/mmm (No. 123)
Inequivalent atoms, fractional coordinates:
Li  0.0000  0.0000  0.0000 (multiplicity 1)  4 Ag 2.83
V  0.5000  0.5000  0.5000 (multiplicity 1)  4 F 2.00
Ag  0.5000  0.5000  0.0000 (multiplicity 1)  4 Li 2.83, 2 V 2.88
F  0.0000  0.5000  0.5000 (multiplicity 2)  2 V 2.00



Model Q:
The following is a DFT calculation (PBE with a Hubbard U) of a geometry-optimized LiVAgF2 structure.

## Properties
Size of the total moment: 2.96 μB/cell
Density of states at the Fermi level: 0.8 states/eV/cell
ρ: 4.30 Mg/m³

a = 3.8505 Å, b = 3.8505 Å, c = 5.3036 Å
α = 90.00°, β = 90.00°, γ = 90.00°
Last column: nearest neighbours and their distance in Å.
Space group P4/mmm (No. 123)
Inequivalent atoms, fractional coordinates:
Li  0.0000  0.0000  0.0000 (multiplicity 1)  4 F 1.93
V  0.0000  0.0000  0.5000 (multiplicity 1)  2 Li 2.65, 4 Ag 2.72
Ag  0.5000  0.5000  0.5000 (multiplicity 1)  4 V 2.72
F  0.0000  0.5000  0.0000 (multiplicity 2)  2 Li 1.93



Consider the structures shown above. The least stable of them is model Q.